## Tb2Ce3ErAs6 (PBE-GGA)

Data for an optimized crystal structure of Tb2Ce3ErAs6.

a = 7.224 Å, b = 7.224 Å, c = 7.210 Å
α = 99.61°, β = 99.61°, γ = 120.00°
Each line ends with the local moment (μB).
Fractional positions:
1 Er 0.000 0.000 0.000  0.00
2 Tb 0.666 0.334 0.000  0.01
3 Tb 0.334 0.666 0.000  0.01
4 As 0.082 0.413 0.246  -0.02
5 As 0.587 0.918 0.754  -0.02
6 As 0.413 0.082 0.246  -0.02
7 As 0.751 0.751 0.246  -0.02
8 As 0.918 0.587 0.754  -0.02
9 As 0.249 0.249 0.754  -0.02
10 Ce 0.833 0.167 0.500  0.59
11 Ce 0.500 0.500 0.500  0.59
12 Ce 0.167 0.833 0.500  0.59

---

## YHo2Pd (PBE-GGA)

Data for an optimized crystal structure of YHo2Pd.

a = 3.559 Å, b = 3.559 Å, c = 10.875 Å
α = 80.58°, β = 80.58°, γ = 60.00°
Each line ends with the local moment (μB).
Fractional positions:
1 Y 0.000 0.000 0.000  0.23
2 Ho 0.894 0.894 0.318  0.03
3 Ho 0.106 0.106 0.682  0.03
4 Pd 0.500 0.500 0.500  0.00

---

## YIn2Mo (PBE-GGA)

Data for an optimized crystal structure of YIn2Mo.

a = 5.034 Å, b = 3.177 Å, c = 5.510 Å
α = 85.88°, β = 90.00°, γ = 90.00°
Fractional positions:
1 Y 0.500 0.686 0.771
2 Mo 0.000 0.518 0.470
3 In 0.500 0.158 0.285
4 In 0.000 0.137 0.974

---

For each record above, in turn, the calculated calculated total energy values are -77.29, -21.25, -22.08 eV for the cell shown.
For each record above, in turn, the calculated total moment values are 1.93, 0.52, 0.00 μB/f.u..